# 1
The following is a DFT calculation (GGA-PBE) of crystalline Mg8Cd2Rh at its relaxed geometry.

Unit cell a=8.131 b=8.131 c=6.805 alpha=112.98 beta=112.98 gamma=34.26
Fractional positions:
Mg  0.011  0.011  0.278
Mg  0.177  0.177  0.710
Mg  0.353  0.353  0.600
Mg  0.385  0.385  0.092
Mg  0.615  0.615  0.908
Mg  0.647  0.647  0.400
Mg  0.823  0.823  0.290
Mg  0.989  0.989  0.722
Cd  0.184  0.184  0.174
Cd  0.816  0.816  0.826
Rh  0.500  0.500  0.500

## Properties
Its symmetry is No. 12. The calculation puts the formation energy from the elements at -0.1616 eV/atom.

# 2
The following is a DFT calculation (GGA-PBE) of crystalline NaRuF3 at its relaxed geometry.

Unit cell a=4.203 b=4.203 c=4.203 alpha=90.00 beta=90.00 gamma=90.00
Fractional positions:
Na  0.000  0.000  0.000
Ru  0.500  0.500  0.500
F  0.000  0.500  0.500
F  0.500  0.000  0.500
F  0.500  0.500  0.000

## Properties
Its symmetry is No. 221. For the formation energy (no corrections), the calculation gives -1.53 eV per atom. For the energy above the most stable polymorph in this dataset, the calculation gives 0 meV per atom.

# 3
The following is a DFT calculation (GGA-PBE) of crystalline Ba4AuSI2 at its relaxed geometry.

Unit cell a=8.348 b=4.671 c=8.881 alpha=90.00 beta=107.49 gamma=90.00
Fractional positions:
Ba  0.227  0.000  0.205
Ba  0.262  0.500  0.793
Ba  0.738  0.500  0.207
Ba  0.773  0.000  0.795
Au  0.500  0.000  0.000
S  0.000  0.500  0.000
I  0.000  0.000  0.500
I  0.500  0.500  0.500

## Properties
Its symmetry is No. 10. For the formation energy (no corrections), the calculation gives -1.36 eV per atom.

| no. | V (Å³ per atom) |
| --- | --- |
| 1 | 21.02 |
| 2 | 14.84 |
| 3 | 41.29 |